La3Y2Tm2 | PBE | relaxed

Geometry as POSCAR:
```
La3Y2Tm2
1.0
6.0263 -1.8217 0.0000
6.0263 1.8217 0.0000
-1.0712 0.0000 10.7110
La Y Tm
3 2 2
direct
0.0000 0.0000 0.0000
0.1413 0.1413 0.5687
0.8587 0.8587 0.4313
0.2843 0.2843 0.1415
0.7157 0.7157 0.8585
0.4264 0.4264 0.7171
0.5736 0.5736 0.2829
```

Computed properties:
Calculated volume   235 Å³/cell
E above lowest polymorph   0.0 kJ per mole of atoms
Formation enthalpy at 0 K   0.0277 eV per atom